# NiSe3Br (GGA-PBE, optimized geometry)
data_NiSe3Br
_symmetry_space_group_name_H-M 'P 1'
_symmetry_Int_Tables_number 1
_symmetry_space_group_name_Hall 'P 1'
_cell_length_a 4.755
_cell_length_b 4.755
_cell_length_c 4.755
_cell_angle_alpha 90.00
_cell_angle_beta 90.00
_cell_angle_gamma 90.00
loop_
_atom_site_label
_atom_site_type_symbol
_atom_site_fract_x
_atom_site_fract_y
_atom_site_fract_z
Ni1 Ni 0.000 0.000 0.000
Se1 Se 0.000 0.000 0.500
Se2 Se 0.000 0.500 0.000
Se3 Se 0.500 0.000 0.000
Br1 Br 0.500 0.500 0.500
# Symmetry: No. 221
# Distance to the lowest polymorph of the same formula: 0.345 eV/atom
# Calculated volume: 107 Å³ per cell
# Uncorrected formation energy: 0.427 eV per atom

# SmHoCd4 (GGA-PBE, optimized geometry)
data_SmHoCd4
_symmetry_space_group_name_H-M 'P 1'
_symmetry_Int_Tables_number 1
_symmetry_space_group_name_Hall 'P 1'
_cell_length_a 3.429
_cell_length_b 5.006
_cell_length_c 8.675
_cell_angle_alpha 90.00
_cell_angle_beta 90.00
_cell_angle_gamma 90.00
loop_
_atom_site_label
_atom_site_type_symbol
_atom_site_fract_x
_atom_site_fract_y
_atom_site_fract_z
Sm1 Sm 0.000 0.000 0.000
Ho1 Ho 0.000 0.500 0.500
Cd1 Cd 0.500 0.000 0.336
Cd2 Cd 0.500 0.000 0.664
Cd3 Cd 0.500 0.500 0.170
Cd4 Cd 0.500 0.500 0.830
# ΔH_f (0 K): -320.7 meV/atom
# Symmetry: No. 47
# Distance to the lowest polymorph of the same formula: 0.000 eV/atom
# Calculated volume: 149 Å³ per cell

# MnAgRh (GGA-PBE, optimized geometry)
data_MnAgRh
_symmetry_space_group_name_H-M 'P 1'
_symmetry_Int_Tables_number 1
_symmetry_space_group_name_Hall 'P 1'
_cell_length_a 7.037
_cell_length_b 7.037
_cell_length_c 4.736
_cell_angle_alpha 104.45
_cell_angle_beta 104.45
_cell_angle_gamma 22.76
loop_
_atom_site_label
_atom_site_type_symbol
_atom_site_fract_x
_atom_site_fract_y
_atom_site_fract_z
Mn1 Mn 0.243 0.243 0.312
Mn2 Mn 0.757 0.757 0.688
Ag1 Ag 0.440 0.440 0.708
Ag2 Ag 0.560 0.560 0.292
Rh1 Rh 0.133 0.133 0.846
Rh2 Rh 0.867 0.867 0.154
# ΔH_f (0 K): 237.7 meV/atom
# Symmetry: No. 12
# Distance to the lowest polymorph of the same formula: 0.192 eV/atom
# Calculated volume: 88 Å³ per cell

# AlCrSnI2 (GGA-PBE, optimized geometry)
data_AlCrSnI2
_symmetry_space_group_name_H-M 'P 1'
_symmetry_Int_Tables_number 1
_symmetry_space_group_name_Hall 'P 1'
_cell_length_a 5.615
_cell_length_b 5.615
_cell_length_c 5.411
_cell_angle_alpha 90.00
_cell_angle_beta 90.00
_cell_angle_gamma 90.00
loop_
_atom_site_label
_atom_site_type_symbol
_atom_site_fract_x
_atom_site_fract_y
_atom_site_fract_z
Al1 Al 0.000 0.000 0.000
Cr1 Cr 0.500 0.500 0.500
Sn1 Sn 0.000 0.000 0.500
I1 I 0.000 0.500 0.000
I2 I 0.500 0.000 0.000
# Symmetry: No. 123
# Calculated volume: 171 Å³ per cell
# Uncorrected formation energy: 0.599 eV per atom

# Ba2Sb2Ir (GGA-PBE, optimized geometry)
data_Ba2Sb2Ir
_symmetry_space_group_name_H-M 'P 1'
_symmetry_Int_Tables_number 1
_symmetry_space_group_name_Hall 'P 1'
_cell_length_a 7.247
_cell_length_b 7.247
_cell_length_c 5.609
_cell_angle_alpha 90.00
_cell_angle_beta 90.00
_cell_angle_gamma 90.00
loop_
_atom_site_label
_atom_site_type_symbol
_atom_site_fract_x
_atom_site_fract_y
_atom_site_fract_z
Ba1 Ba 0.171 0.329 0.000
Ba2 Ba 0.329 0.829 0.000
Ba3 Ba 0.671 0.171 0.000
Ba4 Ba 0.829 0.671 0.000
Sb1 Sb 0.148 0.648 0.500
Sb2 Sb 0.352 0.148 0.500
Sb3 Sb 0.648 0.852 0.500
Sb4 Sb 0.852 0.352 0.500
Ir1 Ir 0.000 0.000 0.500
Ir2 Ir 0.500 0.500 0.500
# Symmetry: No. 127
# Distance to the lowest polymorph of the same formula: 0.000 eV/atom
# Calculated volume: 295 Å³ per cell
# Uncorrected formation energy: -0.510 eV per atom

# Dy2Sb2H (GGA-PBE, optimized geometry)
data_Dy2Sb2H
_symmetry_space_group_name_H-M 'P 1'
_symmetry_Int_Tables_number 1
_symmetry_space_group_name_Hall 'P 1'
_cell_length_a 9.440
_cell_length_b 9.440
_cell_length_c 6.142
_cell_angle_alpha 90.00
_cell_angle_beta 90.00
_cell_angle_gamma 153.80
loop_
_atom_site_label
_atom_site_type_symbol
_atom_site_fract_x
_atom_site_fract_y
_atom_site_fract_z
Dy1 Dy 0.092 0.908 0.500
Dy2 Dy 0.334 0.666 0.556
Dy3 Dy 0.666 0.334 0.056
Dy4 Dy 0.908 0.092 0.000
Sb1 Sb 0.290 0.710 0.051
Sb2 Sb 0.494 0.506 0.277
Sb3 Sb 0.506 0.494 0.777
Sb4 Sb 0.710 0.290 0.551
H1 H 0.126 0.874 0.158
H2 H 0.874 0.126 0.658
# Symmetry: No. 36
# Total energy: -49.6 eV/cell
# Calculated volume: 242 Å³ per cell

# RbNa2TcO4 (GGA-PBE, optimized geometry)
data_RbNa2TcO4
_symmetry_space_group_name_H-M 'P 1'
_symmetry_Int_Tables_number 1
_symmetry_space_group_name_Hall 'P 1'
_cell_length_a 7.006
_cell_length_b 7.006
_cell_length_c 7.006
_cell_angle_alpha 116.14
_cell_angle_beta 107.00
_cell_angle_gamma 105.48
loop_
_atom_site_label
_atom_site_type_symbol
_atom_site_fract_x
_atom_site_fract_y
_atom_site_fract_z
Rb1 Rb 0.000 0.000 0.000
Rb2 Rb 0.500 0.000 0.500
Na1 Na 0.000 0.500 0.500
Na2 Na 0.500 0.000 0.000
Na3 Na 0.500 0.500 0.000
Na4 Na 0.500 0.500 0.500
Tc1 Tc 0.000 0.000 0.500
Tc2 Tc 0.000 0.500 0.000
O1 O 0.219 0.251 0.532
O2 O 0.219 0.686 0.968
O3 O 0.223 0.000 0.723
O4 O 0.223 0.500 0.223
O5 O 0.777 0.000 0.277
O6 O 0.777 0.500 0.777
O7 O 0.781 0.314 0.032
O8 O 0.781 0.749 0.468
# Symmetry: No. 74
# Calculated volume: 262 Å³ per cell
# Uncorrected formation energy: -1.344 eV per atom

# PmHoInGe (GGA-PBE, optimized geometry)
data_PmHoInGe
_symmetry_space_group_name_H-M 'P 1'
_symmetry_Int_Tables_number 1
_symmetry_space_group_name_Hall 'P 1'
_cell_length_a 5.253
_cell_length_b 5.253
_cell_length_c 5.253
_cell_angle_alpha 60.00
_cell_angle_beta 60.00
_cell_angle_gamma 60.00
loop_
_atom_site_label
_atom_site_type_symbol
_atom_site_fract_x
_atom_site_fract_y
_atom_site_fract_z
Pm1 Pm 0.000 0.000 0.000
Ho1 Ho 0.500 0.500 0.500
In1 In 0.250 0.250 0.250
Ge1 Ge 0.750 0.750 0.750
# ΔH_f (0 K): -479.3 meV/atom
# Symmetry: No. 216
# Calculated volume: 102 Å³ per cell